A plane-wave DFT calculation with PBE with a Hubbard U was carried out for VF5 after structural relaxation.

Cell lengths 8.6499, 9.7333, 5.0121 Å; angles 90.00, 90.00, 90.00 degrees
Last column: nearest neighbours and their distance in Å.
Space group Pnma (No. 62)
Inequivalent atoms, fractional coordinates:
V  0.0888  0.2500  0.2051 [4 per cell]  5 F 1.74-1.77
F  0.0759  0.1259  0.4615 [8 per cell]  1 V 1.77
F  0.0945  0.7500  0.9382 [4 per cell]  1 V 1.74
F  0.1932  0.1251  0.0221 [8 per cell]  1 V 1.77

D(E_F)	0.00	states/eV per cell
calculated volume	17.58	A^3/atom
final energy	-5.220	eV/atom